i | {
  "formula": "RbBeP2Cl",
  "functional": "PBE-GGA",
  "state": "optimized geometry",
  "crystal_system": "tetragonal",
  "m_tot_mub_per_cell": 6.089,
  "sg": "P4/mmm",
  "lattice_angstrom": [[7.485, 0.000, 0.000], [0.000, 7.485, 0.000], [0.000, 0.000, 5.997]],
  "species": ["P", "P", "Rb", "Be", "Cl"],
  "frac_coords": [[0.500, 0.000, 0.000], [0.000, 0.500, 0.000], [0.000, 0.000, 0.000], [0.500, 0.500, 0.500], [0.000, 0.000, 0.500]]
}

ii | {
  "formula": "RbBeP2Cl",
  "functional": "PBE-GGA",
  "state": "optimized geometry",
  "crystal_system": "tetragonal",
  "dos_at_fermi_per_ev_atom": 0.3420,
  "m_tot_mub_per_cell": 0.000,
  "sg": "P4/mmm",
  "lattice_angstrom": [[-2.556, -1.479, -3.028], [1.660, -3.860, 0.485], [-5.420, -1.655, 5.383]],
  "species": ["P", "P", "Cl", "Rb", "Be"],
  "frac_coords": [[0.500, 0.000, 0.000], [0.000, 0.500, 0.000], [0.000, 0.000, 0.500], [0.500, 0.500, 0.500], [0.000, 0.000, 0.000]]
}

The data favor ii; the next most stable structure lies 158.3 kJ/mol of atoms above it.

i | {
  "formula": "BeReP2Cl",
  "functional": "PBE-GGA",
  "state": "optimized geometry",
  "crystal_system": "tetragonal",
  "dos_at_fermi_per_ev_atom": 0.6383,
  "m_tot_mub_per_cell": 1.766,
  "sg": "P4/mmm",
  "lattice_angstrom": [[4.195, 0.000, 0.000], [0.000, 4.195, 0.000], [0.000, 0.000, 4.342]],
  "species": ["P", "P", "Re", "Cl", "Be"],
  "frac_coords": [[0.000, 0.500, 0.000], [0.500, 0.000, 0.000], [0.500, 0.500, 0.500], [0.000, 0.000, 0.500], [0.000, 0.000, 0.000]]
}

ii | {
  "formula": "BeReP2Cl",
  "functional": "PBE-GGA",
  "state": "optimized geometry",
  "crystal_system": "tetragonal",
  "dos_at_fermi_per_ev_atom": 0.5451,
  "m_tot_mub_per_cell": 0.000,
  "sg": "P4/mmm",
  "lattice_angstrom": [[-4.315, -1.047, 0.959], [1.419, -3.299, 2.783], [0.063, 3.362, 3.954]],
  "species": ["P", "P", "Re", "Be", "Cl"],
  "frac_coords": [[0.500, 0.000, 0.000], [0.000, 0.500, 0.000], [0.000, 0.000, 0.000], [0.500, 0.500, 0.500], [0.000, 0.000, 0.500]]
}

The data favor ii; the next most stable structure lies 27.2 kJ/mol of atoms above it.

i | {
  "formula": "BePRuCl2",
  "functional": "PBE-GGA",
  "state": "optimized geometry",
  "crystal_system": "tetragonal",
  "dos_at_fermi_per_ev_atom": 0.7172,
  "m_tot_mub_per_cell": 2.339,
  "sg": "P4/mmm",
  "lattice_angstrom": [[-0.676, 3.443, 1.773], [-3.404, -1.386, 1.393], [3.494, -2.454, 6.098]],
  "species": ["P", "Cl", "Cl", "Ru", "Be"],
  "frac_coords": [[0.000, 0.000, 0.500], [0.000, 0.500, 0.000], [0.500, 0.000, 0.000], [0.500, 0.500, 0.500], [0.000, 0.000, 0.000]]
}

ii | {
  "formula": "BePRuCl2",
  "functional": "PBE-GGA",
  "state": "optimized geometry",
  "crystal_system": "tetragonal",
  "dos_at_fermi_per_ev_atom": 1.2065,
  "m_tot_mub_per_cell": 0.002,
  "sg": "P4/mmm",
  "lattice_angstrom": [[-3.495, -1.321, -3.144], [-0.955, -3.942, 2.718], [-3.010, 2.354, 2.357]],
  "species": ["Cl", "Cl", "P", "Ru", "Be"],
  "frac_coords": [[0.000, 0.500, 0.000], [0.500, 0.000, 0.000], [0.000, 0.000, 0.500], [0.000, 0.000, 0.000], [0.500, 0.500, 0.500]]
}

The data favor i; the next most stable structure lies 11.3 kJ/mol of atoms above it.

i | {
  "formula": "BePS2Cl",
  "functional": "PBE-GGA",
  "state": "optimized geometry",
  "crystal_system": "tetragonal",
  "dos_at_fermi_per_ev_atom": 0.9622,
  "m_tot_mub_per_cell": 0.000,
  "sg": "P4/mmm",
  "lattice_angstrom": [[-0.834, 4.206, -1.475], [-3.801, 0.113, 2.471], [2.430, 1.765, 3.658]],
  "species": ["P", "S", "S", "Be", "Cl"],
  "frac_coords": [[0.000, 0.000, 0.500], [0.500, 0.000, 0.000], [0.000, 0.500, 0.000], [0.500, 0.500, 0.500], [0.000, 0.000, 0.000]]
}

ii | {
  "formula": "BePS2Cl",
  "functional": "PBE-GGA",
  "state": "optimized geometry",
  "crystal_system": "tetragonal",
  "dos_at_fermi_per_ev_atom": 0.4704,
  "m_tot_mub_per_cell": 0.000,
  "sg": "P4/mmm",
  "lattice_angstrom": [[4.106, 0.000, 0.000], [0.000, 4.106, 0.000], [0.000, 0.000, 5.103]],
  "species": ["Be", "P", "Cl", "S", "S"],
  "frac_coords": [[0.000, 0.000, 0.000], [0.000, 0.000, 0.500], [0.500, 0.500, 0.500], [0.500, 0.000, 0.000], [0.000, 0.500, 0.000]]
}

iii | {
  "formula": "BePS2Cl",
  "functional": "PBE-GGA",
  "state": "optimized geometry",
  "crystal_system": "tetragonal",
  "dos_at_fermi_per_ev_atom": 0.6070,
  "m_tot_mub_per_cell": 0.000,
  "sg": "P4/mmm",
  "lattice_angstrom": [[4.473, 0.000, 0.000], [0.000, 4.473, 0.000], [0.000, 0.000, 4.106]],
  "species": ["S", "S", "Be", "P", "Cl"],
  "frac_coords": [[0.000, 0.500, 0.000], [0.500, 0.000, 0.000], [0.000, 0.000, 0.000], [0.500, 0.500, 0.500], [0.000, 0.000, 0.500]]
}

The data favor iii; the next most stable structure lies 14.3 kJ/mol of atoms above it.